(1)
The following is a DFT calculation (PBE) of a relaxed AgHg2PbF8 crystal.

Properties
**Space-group type**: P-1, No. 2

The structure in POSCAR format:
```
AgHg2PbF8
1.0
4.1184 0.0000 0.0000
0.1367 5.7029 0.0000
0.0501 0.3192 8.1376
Ag Hg Pb F
1 2 1 8
Direct
0.0000 0.0000 0.0000
0.4770 0.4897 0.7565
0.5230 0.5103 0.2435
0.0000 0.0000 0.5000
0.0437 0.3159 0.2694
0.0735 0.1886 0.7734
0.4106 0.7493 0.9863
0.4869 0.7426 0.4788
0.5131 0.2574 0.5212
0.5894 0.2507 0.0137
0.9265 0.8114 0.2266
0.9563 0.6841 0.7306
```

=====

(2)
The following is a DFT calculation (PBE) of a relaxed AgHg2PdF crystal.

Properties
**Space-group type**: P4/mmm, No. 123

The structure in POSCAR format:
```
AgHg2PdF
1.0
5.1183 0.0000 0.0000
0.0000 5.1183 0.0000
0.0000 0.0000 4.1694
Ag Hg Pd F
1 2 1 1
Direct
0.0000 0.0000 0.0000
0.0000 0.5000 0.5000
0.5000 0.0000 0.5000
0.5000 0.5000 0.0000
0.0000 0.0000 0.5000
```

=====

(3)
The following is a DFT calculation (PBE) of a relaxed AgHg2PdF8 crystal.

Properties
**Space-group type**: P-1, No. 2

The structure in POSCAR format:
```
AgHg2PdF8
1.0
5.0310 0.0000 0.0000
-0.0090 5.4706 0.0000
-0.0034 -0.0074 7.2334
Ag Hg Pd F
1 2 1 8
Direct
0.0000 0.0000 0.0000
0.5001 0.5000 0.2522
0.4999 0.5000 0.7478
0.0000 0.0000 0.5000
0.1940 0.8371 0.2914
0.1938 0.8369 0.7085
0.2855 0.3147 0.5004
0.3010 0.3210 0.0005
0.6990 0.6790 0.9995
0.7145 0.6853 0.4996
0.8062 0.1631 0.2915
0.8060 0.1629 0.7086
```

=====

Energy relative to the elements, uncorrected: -1.589, -0.010, -1.301 (eV per atom)